(1)
AgSn3P: optimized geometry, PBE-GGA.

a = 5.2470 Å, b = 5.2470 Å, c = 5.2470 Å
α = 90.00°, β = 90.00°, γ = 90.00°
Last column: nearest neighbours and their distance in Å.
Space group Pm-3m (No. 221)
Asymmetric unit:
Ag: 0.0000 0.0000 0.0000 (multiplicity 1)  12 Sn 3.71
Sn: 0.0000 0.5000 0.5000 (multiplicity 3)  2 P 2.62
P: 0.5000 0.5000 0.5000 (multiplicity 1)  6 Sn 2.62

DOS at the Fermi energy ... 0.70 states/eV/atom
Calculated formation energy ... 12.1 kcal/mol of atoms
Crystal system ... cubic
Calculated density ... 5.69 Mg/m³
Uncorrected energy ... -3.529 eV per atom
Energy relative to the lowest polymorph listed for this composition ... 0.000 eV/atom

(2)
Ta2TiSe: optimized geometry, PBE-GGA.

a = 3.8952 Å, b = 3.8952 Å, c = 19.5999 Å
α = 90.00°, β = 90.00°, γ = 90.00°
Last column: nearest neighbours and their distance in Å.
Space group I-42d (No. 122)
Asymmetric unit:
Ta: 0.2483 0.2500 0.1250 (multiplicity 8)  4 Ta 2.74-2.76, 2 Se 2.81, 2 Ti 2.81
Ti: 0.0000 0.0000 0.5000 (multiplicity 4)  4 Se 2.75, 4 Ta 2.81
Se: 0.0000 0.0000 0.0000 (multiplicity 4)  4 Ti 2.75, 4 Ta 2.81

DOS at the Fermi energy ... 0.86 states/eV/atom
ΔE_f (raw) ... 0.21 eV per atom
Crystal system ... tetragonal
Calculated density ... 10.92 Mg/m³
Uncorrected energy ... -8.565 eV per atom

(3)
SrTeOs2: optimized geometry, PBE-GGA.

a = 4.1688 Å, b = 4.1688 Å, c = 9.0994 Å
α = 90.00°, β = 90.00°, γ = 90.00°
Last column: nearest neighbours and their distance in Å.
Space group I-4m2 (No. 119)
Asymmetric unit:
Sr: 0.0000 0.0000 0.0000 (multiplicity 2)  8 Os 2.95-3.09, 4 Te 3.09
Te: 0.0000 0.5000 0.7500 (multiplicity 2)  8 Os 2.95-3.09, 4 Sr 3.09
Os: 0.0000 0.0000 0.5000 (multiplicity 2)  4 Sr 2.95, 4 Te 3.09, 4 Os 3.09
Os: 0.0000 0.5000 0.2500 (multiplicity 2)  4 Te 2.95, 4 Sr 3.09, 4 Os 3.09

DOS at the Fermi energy ... 1.39 states/eV/atom
ΔE_f (raw) ... 1.01 eV per atom
Crystal system ... tetragonal
Calculated density ... 12.51 Mg/m³
Uncorrected energy ... -5.814 eV per atom
Energy relative to the lowest polymorph listed for this composition ... 0.902 eV/atom

(4)
ErHfBeRu: optimized geometry, PBE-GGA.

a = 6.5922 Å, b = 6.5922 Å, c = 6.5922 Å
α = 90.00°, β = 90.00°, γ = 90.00°
Last column: nearest neighbours and their distance in Å.
Space group F-43m (No. 216)
Asymmetric unit:
Er: 0.0000 0.0000 0.0000 (multiplicity 4)  4 Be 2.85, 4 Ru 2.85
Hf: 0.0000 0.0000 0.5000 (multiplicity 4)  4 Ru 2.85, 4 Be 2.85
Be: 0.2500 0.2500 0.7500 (multiplicity 4)  4 Hf 2.85, 4 Er 2.85
Ru: 0.2500 0.2500 0.2500 (multiplicity 4)  4 Hf 2.85, 4 Er 2.85

DOS at the Fermi energy ... 0.51 states/eV/atom
Calculated formation energy ... -5.2 kcal/mol of atoms
Crystal system ... cubic
Calculated density ... 10.57 Mg/m³
Uncorrected energy ... -7.106 eV per atom

(5)
CaScAg6: optimized geometry, PBE-GGA.

a = 9.5835 Å, b = 4.2380 Å, c = 8.6852 Å
α = 90.00°, β = 116.69°, γ = 90.00°
Last column: nearest neighbours and their distance in Å.
Space group C2/m (No. 12)
Asymmetric unit:
Ca: 0.0000 0.0000 0.0000 (multiplicity 2)  12 Ag 3.05-3.11
Sc: 0.0000 0.0000 0.5000 (multiplicity 2)  12 Ag 2.96-3.02
Ag: 0.0017 0.5000 0.7396 (multiplicity 4)  8 Ag 2.95-3.21, 2 Sc 2.96, 2 Ca 3.10
Ag: 0.2423 0.0000 0.8628 (multiplicity 4)  8 Ag 2.96-3.21, 1 Sc 2.96, 3 Ca 3.05-3.06
Ag: 0.2478 0.5000 0.6178 (multiplicity 4)  8 Ag 2.95-3.04, 3 Sc 3.00-3.02, 1 Ca 3.11

DOS at the Fermi energy ... 0.50 states/eV/atom
Calculated formation energy ... -4.2 kcal/mol of atoms
Crystal system ... monoclinic
Calculated density ... 7.72 Mg/m³
Uncorrected energy ... -3.360 eV per atom

(6)
NbInPd2: optimized geometry, PBE-GGA.

a = 4.8839 Å, b = 4.8839 Å, c = 2.9172 Å
α = 90.00°, β = 90.00°, γ = 90.00°
Last column: nearest neighbours and their distance in Å.
Space group P4/mmm (No. 123)
Asymmetric unit:
Nb: 0.0000 0.0000 0.0000 (multiplicity 1)  8 Pd 2.84, 2 Nb 2.92
In: 0.5000 0.5000 0.0000 (multiplicity 1)  8 Pd 2.84, 2 In 2.92
Pd: 0.0000 0.5000 0.5000 (multiplicity 2)  4 In 2.84, 4 Nb 2.84, 2 Pd 2.92

DOS at the Fermi energy ... 0.83 states/eV/atom
Calculated formation energy ... -5.7 kcal/mol of atoms
Crystal system ... tetragonal
Calculated density ... 10.04 Mg/m³
Uncorrected energy ... -6.045 eV per atom

(7)
Ac4GeN2O: optimized geometry, PBE-GGA.

a = 6.1211 Å, b = 6.1211 Å, c = 12.0999 Å
α = 90.00°, β = 90.00°, γ = 90.00°
Last column: nearest neighbours and their distance in Å.
Space group I-42m (No. 121)
Asymmetric unit:
Ac: 0.2170 0.2170 0.1424 (multiplicity 8)  2 N 2.54, 1 O 2.55
Ge: 0.0000 0.0000 0.5000 (multiplicity 2)  4 Ac 2.99
N: 0.0000 0.5000 0.2500 (multiplicity 4)  4 Ac 2.54
O: 0.0000 0.0000 0.0000 (multiplicity 2)  4 Ac 2.55

DOS at the Fermi energy ... 0.20 states/eV/atom
ΔE_f (raw) ... -1.29 eV per atom
Crystal system ... tetragonal
Calculated density ... 7.51 Mg/m³
Uncorrected energy ... -6.623 eV per atom

(8)
Sb2OsPb: optimized geometry, PBE-GGA.

a = 9.0644 Å, b = 3.6291 Å, c = 6.7480 Å
α = 90.00°, β = 109.35°, γ = 90.00°
Last column: nearest neighbours and their distance in Å.
Space group Cm (No. 8)
Asymmetric unit:
Sb: 0.0000 0.0000 0.0000 (multiplicity 2)  2 Os 2.68
Sb: 0.1491 0.0000 0.6450 (multiplicity 2)  3 Os 2.64-2.65
Os: 0.4510 0.0000 0.6919 (multiplicity 2)  5 Sb 2.64-2.68
Pb: 0.2966 0.5000 0.3013 (multiplicity 2)  2 Os 3.12, 4 Sb 3.17-3.32

DOS at the Fermi energy ... 0.61 states/eV/atom
ΔE_f (raw) ... 0.26 eV per atom
Crystal system ... monoclinic
Calculated density ... 10.16 Mg/m³
Uncorrected energy ... -5.532 eV per atom

(9)
BaCa2InCu: optimized geometry, PBE-GGA.

a = 5.6891 Å, b = 5.6891 Å, c = 5.1841 Å
α = 90.00°, β = 90.00°, γ = 90.00°
Last column: nearest neighbours and their distance in Å.
Space group P4/mmm (No. 123)
Asymmetric unit:
Ba: 0.0000 0.0000 0.0000 (multiplicity 1)  8 Ca 3.85, 4 In 4.02
Ca: 0.0000 0.5000 0.5000 (multiplicity 2)  2 Cu 2.84
In: 0.5000 0.5000 0.0000 (multiplicity 1)  2 Cu 2.59
Cu: 0.5000 0.5000 0.5000 (multiplicity 1)  2 In 2.59, 4 Ca 2.84

DOS at the Fermi energy ... 0.83 states/eV/atom
Calculated formation energy ... -2.7 kcal/mol of atoms
Crystal system ... tetragonal
Calculated density ... 3.92 Mg/m³
Uncorrected energy ... -2.669 eV per atom

(10)
MgPd2Pt2: optimized geometry, PBE-GGA.

a = 4.3995 Å, b = 4.3995 Å, c = 9.5741 Å
α = 90.00°, β = 90.00°, γ = 120.00°
Last column: nearest neighbours and their distance in Å.
Space group P6_3/mmc (No. 194)
Asymmetric unit:
Mg: 0.0000 0.0000 0.2500 (multiplicity 2)  5 Pd 2.39-2.54
Pd: 0.0000 0.0000 0.0000 (multiplicity 2)  2 Mg 2.39
Pd: 0.3333 0.6667 0.2500 (multiplicity 2)  3 Mg 2.54
Pt: 0.3333 0.6667 0.6009 (multiplicity 4)  6 Pd 2.72-2.91, 1 Pt 2.86, 3 Mg 2.91

DOS at the Fermi energy ... 0.87 states/eV/atom
Calculated formation energy ... -3.3 kcal/mol of atoms
Crystal system ... hexagonal
Calculated density ... 12.98 Mg/m³
Uncorrected energy ... -4.955 eV per atom
Energy relative to the lowest polymorph listed for this composition ... 0.053 eV/atom

(11)
Ba3AgPd2: optimized geometry, PBE-GGA.

a = 9.2156 Å, b = 9.2156 Å, c = 16.6366 Å
α = 90.00°, β = 90.00°, γ = 120.00°
Last column: nearest neighbours and their distance in Å.
Space group R-3c (No. 167, hexagonal axes)
Asymmetric unit:
Ba: 0.0000 0.3218 0.2500 (multiplicity 18)  4 Pd 3.28-3.42, 2 Ag 3.42
Ag: 0.0000 0.0000 0.0000 (multiplicity 6)  2 Pd 2.77
Pd: 0.0000 0.0000 0.1664 (multiplicity 12)  1 Ag 2.77, 1 Pd 2.78

DOS at the Fermi energy ... 0.65 states/eV/atom
Calculated formation energy ... -9.6 kcal/mol of atoms
Crystal system ... trigonal
Calculated density ... 5.97 Mg/m³
Uncorrected energy ... -3.586 eV per atom

(12)
K2HgW: optimized geometry, PBE-GGA.

a = 9.7902 Å, b = 2.9496 Å, c = 9.6690 Å
α = 90.00°, β = 92.77°, γ = 90.00°
Last column: nearest neighbours and their distance in Å.
Space group Cm (No. 8)
Asymmetric unit:
K: 0.0000 0.0000 0.0000 (multiplicity 2)  2 K 2.95
K: 0.2314 0.0000 0.5857 (multiplicity 2)  2 K 2.95
Hg: 0.2400 0.5000 0.2472 (multiplicity 2)  3 W 2.73-2.84, 2 Hg 2.95
W: 0.4777 0.0000 0.3299 (multiplicity 2)  3 Hg 2.73-2.84, 2 W 2.95

DOS at the Fermi energy ... 0.88 states/eV/atom
Calculated formation energy ... 24.0 kcal/mol of atoms
Crystal system ... monoclinic
Calculated density ... 5.51 Mg/m³
Uncorrected energy ... -2.824 eV per atom

What is the DOS at the Fermi energy in the first record? 0.70 states/eV/atom